*1*
{"formula": "SrCa2Ag", "functional": "GGA-PBE", "state": "relaxed", "cell": [[13.758, 0.000, 0.000], [0.000, 3.934, 0.000], [-2.599, 0.000, 5.407]], "species": ["Sr", "Sr", "Ca", "Ca", "Ca", "Ca", "Ag", "Ag"], "fractional_positions": [[0.000, 0.000, 0.000], [0.500, 0.500, 0.000], [0.199, 0.000, 0.700], [0.397, 0.000, 0.397], [0.699, 0.500, 0.700], [0.897, 0.500, 0.397], [0.207, 0.500, 0.218], [0.707, 0.000, 0.218]], "spacegroup": "Cm", "m_tot_mub_per_fu": 0.0}

***

*2*
{"formula": "SrCa2Ag", "functional": "GGA-PBE", "state": "relaxed", "cell": [[3.861, 0.000, 0.000], [0.000, 3.861, 0.000], [0.000, 0.000, 9.716]], "species": ["Sr", "Ca", "Ca", "Ag"], "fractional_positions": [[0.000, 0.000, 0.000], [0.500, 0.500, 0.318], [0.500, 0.500, 0.682], [0.000, 0.000, 0.500]], "spacegroup": "P4/mmm", "m_tot_mub_per_fu": 0.0}

***

Going by the energies, *2* is most stable and the next is 0.058 eV/atom up.

***

*1*
{"formula": "SrCa2Ag", "functional": "GGA-PBE", "state": "relaxed", "cell": [[4.173, 0.000, 0.000], [-2.087, 3.614, 0.000], [0.000, 0.000, 31.501]], "species": ["Sr", "Sr", "Sr", "Ca", "Ca", "Ca", "Ca", "Ca", "Ca", "Ag", "Ag", "Ag"], "fractional_positions": [[0.000, 0.000, 0.000], [0.333, 0.667, 0.667], [0.667, 0.333, 0.333], [0.000, 0.000, 0.559], [0.000, 0.000, 0.774], [0.333, 0.667, 0.226], [0.333, 0.667, 0.441], [0.667, 0.333, 0.107], [0.667, 0.333, 0.892], [0.000, 0.000, 0.166], [0.333, 0.667, 0.833], [0.667, 0.333, 0.499]], "spacegroup": "R3m", "m_tot_mub_per_fu": 0.0}

***

*2*
{"formula": "SrCa2Ag", "functional": "GGA-PBE", "state": "relaxed", "cell": [[4.204, 0.000, 0.000], [-2.102, 3.640, 0.000], [0.000, 0.000, 31.367]], "species": ["Sr", "Sr", "Sr", "Ca", "Ca", "Ca", "Ca", "Ca", "Ca", "Ag", "Ag", "Ag"], "fractional_positions": [[0.000, 0.000, 0.000], [0.333, 0.667, 0.667], [0.667, 0.333, 0.333], [0.000, 0.000, 0.225], [0.000, 0.000, 0.775], [0.333, 0.667, 0.442], [0.333, 0.667, 0.891], [0.667, 0.333, 0.109], [0.667, 0.333, 0.558], [0.000, 0.000, 0.500], [0.333, 0.667, 0.167], [0.667, 0.333, 0.833]], "spacegroup": "R-3m", "m_tot_mub_per_fu": 0.0}

***

Going by the energies, *1* is most stable and the next is 0.009 eV/atom up.

***

*1*
{"formula": "SrCaAg4", "functional": "GGA-PBE", "state": "relaxed", "cell": [[4.743, 0.000, 0.000], [0.000, 7.543, 0.000], [0.000, 0.000, 8.381]], "species": ["Sr", "Sr", "Ca", "Ca", "Ag", "Ag", "Ag", "Ag", "Ag", "Ag", "Ag", "Ag"], "fractional_positions": [[0.000, 0.000, 0.000], [0.500, 0.500, 0.500], [0.000, 0.500, 0.912], [0.500, 0.000, 0.412], [0.000, 0.196, 0.616], [0.000, 0.296, 0.292], [0.000, 0.704, 0.292], [0.000, 0.804, 0.616], [0.500, 0.204, 0.792], [0.500, 0.304, 0.116], [0.500, 0.696, 0.116], [0.500, 0.796, 0.792]], "spacegroup": "Imm2", "m_tot_mub_per_fu": 0.0}

***

*2*
{"formula": "SrCaAg4", "functional": "GGA-PBE", "state": "relaxed", "cell": [[0.000, 4.155, 4.155], [4.155, 0.000, 4.155], [4.155, 4.155, 0.000]], "species": ["Sr", "Ca", "Ag", "Ag", "Ag", "Ag"], "fractional_positions": [[0.000, 0.000, 0.000], [0.750, 0.750, 0.750], [0.376, 0.376, 0.376], [0.376, 0.376, 0.873], [0.376, 0.873, 0.376], [0.873, 0.376, 0.376]], "spacegroup": "F-43m", "m_tot_mub_per_fu": 0.0}

***

Going by the energies, *1* is most stable and the next is 0.064 eV/atom up.

***

*1*
{"formula": "SrCa2Ag2", "functional": "GGA-PBE", "state": "relaxed", "cell": [[9.059, 0.000, 0.000], [0.000, 9.059, 0.000], [0.000, 0.000, 3.591]], "species": ["Sr", "Sr", "Ca", "Ca", "Ca", "Ca", "Ag", "Ag", "Ag", "Ag"], "fractional_positions": [[0.000, 0.000, 0.000], [0.500, 0.500, 0.000], [0.133, 0.367, 0.000], [0.367, 0.867, 0.000], [0.633, 0.133, 0.000], [0.867, 0.633, 0.000], [0.163, 0.663, 0.500], [0.337, 0.163, 0.500], [0.663, 0.837, 0.500], [0.837, 0.337, 0.500]], "spacegroup": "P4/mbm", "m_tot_mub_per_fu": 0.0}

***

*2*
{"formula": "SrCa2Ag2", "functional": "GGA-PBE", "state": "relaxed", "cell": [[8.400, 0.000, 0.000], [0.000, 8.400, 0.000], [0.000, 0.000, 4.387]], "species": ["Sr", "Sr", "Ca", "Ca", "Ca", "Ca", "Ag", "Ag", "Ag", "Ag"], "fractional_positions": [[0.000, 0.000, 0.000], [0.500, 0.500, 0.000], [0.161, 0.339, 0.500], [0.339, 0.839, 0.500], [0.661, 0.161, 0.500], [0.839, 0.661, 0.500], [0.125, 0.625, 0.000], [0.375, 0.125, 0.000], [0.625, 0.875, 0.000], [0.875, 0.375, 0.000]], "spacegroup": "P4/mbm", "m_tot_mub_per_fu": 0.0}

***

Going by the energies, *2* is most stable and the next is 0.110 eV/atom up.

***

*1*
{"formula": "SrCa2Ag2", "functional": "GGA-PBE", "state": "relaxed", "cell": [[5.523, 0.000, 0.000], [0.000, 5.523, 0.000], [0.000, 0.000, 11.392]], "species": ["Sr", "Sr", "Ca", "Ca", "Ca", "Ca", "Ag", "Ag", "Ag", "Ag"], "fractional_positions": [[0.000, 0.000, 0.000], [0.500, 0.500, 0.500], [0.000, 0.000, 0.345], [0.000, 0.000, 0.655], [0.500, 0.500, 0.155], [0.500, 0.500, 0.845], [0.000, 0.500, 0.250], [0.000, 0.500, 0.750], [0.500, 0.000, 0.250], [0.500, 0.000, 0.750]], "spacegroup": "I4/mmm", "m_tot_mub_per_fu": 0.0}

***

*2*
{"formula": "SrCa2Ag2", "functional": "GGA-PBE", "state": "relaxed", "cell": [[4.877, 0.000, 0.000], [0.000, 4.877, 0.000], [0.000, 0.000, 13.541]], "species": ["Sr", "Sr", "Ca", "Ca", "Ca", "Ca", "Ag", "Ag", "Ag", "Ag"], "fractional_positions": [[0.000, 0.000, 0.000], [0.500, 0.500, 0.500], [0.000, 0.500, 0.250], [0.000, 0.500, 0.750], [0.500, 0.000, 0.250], [0.500, 0.000, 0.750], [0.000, 0.000, 0.397], [0.000, 0.000, 0.603], [0.500, 0.500, 0.103], [0.500, 0.500, 0.897]], "spacegroup": "I4/mmm", "m_tot_mub_per_fu": 0.0}

***

Going by the energies, *2* is most stable and the next is 0.137 eV/atom up.

***

*1*
{"formula": "SrCa3Ag", "functional": "GGA-PBE", "state": "relaxed", "cell": [[5.911, 0.000, 0.000], [0.000, 5.911, 0.000], [0.000, 0.000, 5.911]], "species": ["Sr", "Ca", "Ca", "Ca", "Ag"], "fractional_positions": [[0.000, 0.000, 0.000], [0.000, 0.500, 0.500], [0.500, 0.000, 0.500], [0.500, 0.500, 0.000], [0.500, 0.500, 0.500]], "spacegroup": "Pm-3m", "m_tot_mub_per_fu": 0.0}

***

*2*
{"formula": "SrCa3Ag", "functional": "GGA-PBE", "state": "relaxed", "cell": [[6.875, -2.093, 0.000], [6.875, 2.093, 0.000], [-5.504, 0.000, 13.175]], "species": ["Sr", "Sr", "Ca", "Ca", "Ca", "Ca", "Ca", "Ca", "Ag", "Ag"], "fractional_positions": [[0.000, 0.000, 0.000], [0.123, 0.123, 0.298], [0.124, 0.124, 0.619], [0.240, 0.240, 0.903], [0.437, 0.437, 0.388], [0.473, 0.473, 0.757], [0.775, 0.775, 0.148], [0.807, 0.807, 0.535], [0.441, 0.441, 0.150], [0.795, 0.795, 0.760]], "spacegroup": "Cm", "m_tot_mub_per_fu": 0.0}

***

Going by the energies, *2* is most stable and the next is 0.052 eV/atom up.